# 1
Computed, not measured: crystalline Yb3Pr at its relaxed geometry at the PBE-GGA level of DFT.

a b c (Å): 5.8369 5.8369 5.8369
angles (deg): 60.00 60.00 60.00
Each line ends with the local moment (μB).
Atoms (fractional coordinates):
Pr 0.0000 0.0000 0.0000  0.03
Yb 0.2500 0.2500 0.2500  -0.16
Yb 0.7500 0.7500 0.7500  -0.16
Yb 0.5000 0.5000 0.5000  -0.17

The value obtained for the total DFT energy (no corrections) is -2.42 eV/atom. The value obtained for the total magnetization is 0.4 μB per cell. Its space group is Fm-3m (225).


# 2
Computed, not measured: crystalline YbPrZn2 at its relaxed geometry at the PBE-GGA level of DFT.

a b c (Å): 5.1782 5.1782 5.1782
angles (deg): 60.00 60.00 60.00
Each line ends with the local moment (μB).
Atoms (fractional coordinates):
Pr 0.5000 0.5000 0.5000  0.00
Zn 0.2500 0.2500 0.2500  0.00
Zn 0.7500 0.7500 0.7500  0.00
Yb 0.0000 0.0000 0.0000  0.19

The value obtained for the total DFT energy (no corrections) is -2.56 eV/atom. The value obtained for the total magnetization is 0.2 μB per cell. Its space group is Fm-3m (225).


# 3
Computed, not measured: crystalline Pr2Zn3 at its relaxed geometry at the PBE-GGA level of DFT.

a b c (Å): 3.6703 4.6167 14.1225
angles (deg): 90.00 97.47 90.00
Atoms (fractional coordinates):
Pr 0.2922 0.7500 0.5844
Pr 0.7078 0.2500 0.4156
Pr 0.5709 0.7500 0.1419
Pr 0.4291 0.2500 0.8581
Zn 0.1684 0.7500 0.3369
Zn 0.8316 0.2500 0.6631
Zn 0.8831 0.7500 0.7662
Zn 0.1169 0.2500 0.2338
Zn 0.0231 0.2500 0.0462
Zn 0.9769 0.7500 0.9538

The value obtained for the total DFT energy (no corrections) is -2.98 eV/atom. The value obtained for the total magnetization is 0.0 μB per cell. Its space group is Cmcm (63).


# 4
Computed, not measured: crystalline Pr2Zn3 at its relaxed geometry at the PBE-GGA level of DFT.

a b c (Å): 4.6301 4.6301 7.1918
angles (deg): 71.22 71.22 60.00
Atoms (fractional coordinates):
Pr 0.4134 0.4134 0.7597
Pr 0.5866 0.5866 0.2403
Zn 0.0000 0.0000 0.0000
Zn 0.8380 0.8380 0.4859
Zn 0.1620 0.1620 0.5141

The value obtained for the total DFT energy (no corrections) is -2.92 eV/atom. The value obtained for the total magnetization is 0.0 μB per cell. Its space group is R-3m (166).


# 5
Computed, not measured: crystalline Pr5Zn3 at its relaxed geometry at the PBE-GGA level of DFT.

a b c (Å): 3.7468 3.7468 16.1785
angles (deg): 90.00 90.00 90.00
Atoms (fractional coordinates):
Pr 0.0000 0.0000 0.2229
Pr 0.5000 0.5000 0.6116
Pr 0.5000 0.5000 0.3884
Pr 0.0000 0.0000 0.7771
Pr 0.0000 0.0000 0.0000
Zn 0.5000 0.5000 0.1137
Zn 0.5000 0.5000 0.8863
Zn 0.0000 0.0000 0.5000

The value obtained for the total DFT energy (no corrections) is -3.69 eV/atom. The value obtained for the total magnetization is 0.0 μB per cell. Its space group is P4/mmm (123).


# 6
Computed, not measured: crystalline Pr3Zn22 at its relaxed geometry at the PBE-GGA level of DFT.

a b c (Å): 12.3725 12.3725 12.3725
angles (deg): 137.70 137.70 61.37
Atoms (fractional coordinates):
Pr 0.6202 0.6202 0.0000
Pr 0.3702 0.8702 0.5000
Pr 0.1298 0.6298 0.5000
Pr 0.3798 0.3798 0.0000
Pr 0.7500 0.2500 0.5000
Pr 0.0000 0.0000 0.0000
Zn 0.0712 0.5449 0.9886
Zn 0.5563 0.5449 0.4738
Zn 0.2949 0.3212 0.4886
Zn 0.8325 0.3212 0.0262
Zn 0.0712 0.0825 0.5262
Zn 0.5563 0.0825 0.0114
Zn 0.2949 0.8063 0.9738
Zn 0.8325 0.8063 0.5114
Zn 0.6788 0.7051 0.5114
Zn 0.1937 0.7051 0.0262
Zn 0.4551 0.9288 0.0114
Zn 0.9175 0.9288 0.4738
Zn 0.6788 0.1675 0.9738
Zn 0.1937 0.1675 0.4886
Zn 0.4551 0.4437 0.5262
Zn 0.9175 0.4437 0.9886
Zn 0.4983 0.2739 0.7756
Zn 0.0239 0.7483 0.2756
Zn 0.4727 0.7483 0.7244
Zn 0.4983 0.7227 0.2244
Zn 0.2517 0.9761 0.7244
Zn 0.7261 0.5017 0.2244
Zn 0.2773 0.5017 0.7756
Zn 0.2517 0.5273 0.2756
Zn 0.7581 0.6116 0.8535
Zn 0.3616 0.0081 0.3535
Zn 0.6547 0.0081 0.6465
Zn 0.7581 0.9047 0.1465
Zn 0.9919 0.6384 0.6465
Zn 0.3884 0.2419 0.1465
Zn 0.0953 0.2419 0.8535
Zn 0.9919 0.3453 0.3535
Zn 0.6116 0.9609 0.3493
Zn 0.7109 0.8616 0.8493
Zn 0.0123 0.8616 0.1507
Zn 0.6116 0.2623 0.6507
Zn 0.1384 0.2891 0.1507
Zn 0.0391 0.3884 0.6507
Zn 0.7377 0.3884 0.3493
Zn 0.1384 0.9877 0.8493
Zn 0.8750 0.6250 0.7500
Zn 0.3750 0.1250 0.2500
Zn 0.8750 0.1250 0.7500
Zn 0.8750 0.1250 0.2500

The value obtained for the total DFT energy (no corrections) is -1.96 eV/atom. The value obtained for the total magnetization is 0.0 μB per cell. Its space group is I4_1/amd (141).


# 7
Computed, not measured: crystalline PrZn11 at its relaxed geometry at the PBE-GGA level of DFT.

a b c (Å): 8.2686 8.2686 8.2686
angles (deg): 100.02 100.02 130.70
Atoms (fractional coordinates):
Pr 0.5000 0.5000 0.0000
Pr 0.7500 0.2500 0.5000
Zn 0.8463 0.4303 0.1724
Zn 0.1250 0.8750 0.7500
Zn 0.3261 0.1537 0.5840
Zn 0.2580 0.4303 0.5840
Zn 0.3261 0.7420 0.1724
Zn 0.9920 0.3197 0.9160
Zn 0.2580 0.6739 0.8276
Zn 0.2500 0.7500 0.5000
Zn 0.9920 0.0761 0.6724
Zn 0.0000 0.0000 0.0000
Zn 0.6803 0.0080 0.0840
Zn 0.6250 0.8750 0.7500
Zn 0.4037 0.3197 0.3276
Zn 0.9239 0.0080 0.3276
Zn 0.8463 0.6739 0.4160
Zn 0.5697 0.7420 0.4160
Zn 0.6803 0.5963 0.6724
Zn 0.4037 0.0761 0.0840
Zn 0.9239 0.5963 0.9160
Zn 0.5697 0.1537 0.8276
Zn 0.1250 0.8750 0.2500
Zn 0.1250 0.3750 0.2500

The value obtained for the total DFT energy (no corrections) is -1.78 eV/atom. The value obtained for the total magnetization is 0.0 μB per cell. Its space group is I4_1/amd (141).


# 8
Computed, not measured: crystalline Pr6Zn5 at its relaxed geometry at the PBE-GGA level of DFT.

a b c (Å): 5.2007 7.4247 9.0173
angles (deg): 114.31 106.76 90.00
Atoms (fractional coordinates):
Pr 0.5000 0.7507 0.0000
Pr 0.5000 0.2493 0.0000
Pr 0.8360 0.0841 0.6721
Pr 0.8360 0.5880 0.6721
Pr 0.1640 0.9159 0.3279
Pr 0.1640 0.4120 0.3279
Zn 0.0000 0.5000 0.0000
Zn 0.6682 0.6682 0.3363
Zn 0.3318 0.3318 0.6637
Zn 0.3271 0.8271 0.6543
Zn 0.6729 0.1729 0.3457

The value obtained for the total DFT energy (no corrections) is -3.41 eV/atom. The value obtained for the total magnetization is 0.0 μB per cell. Its space group is Immm (71).


# 9
Computed, not measured: crystalline Pr5Zn at its relaxed geometry at the PBE-GGA level of DFT.

a b c (Å): 5.0272 4.9395 8.1716
angles (deg): 107.59 90.00 90.00
Atoms (fractional coordinates):
Pr 0.5000 0.8379 0.6759
Pr 0.0000 0.6604 0.3207
Pr 0.5000 0.5000 0.0000
Pr 0.0000 0.3396 0.6793
Pr 0.5000 0.1621 0.3241
Zn 0.0000 0.0000 0.0000

For the energy above the lowest structure with this stoichiometry, the calculation gives 85 meV per atom. The value obtained for the total magnetization is 0.0 μB per cell. Its space group is Cmmm (65).


# 10
Computed, not measured: crystalline Pr3Zn8 at its relaxed geometry at the PBE-GGA level of DFT.

a b c (Å): 4.0271 4.4219 13.5400
angles (deg): 99.40 98.55 90.00
Atoms (fractional coordinates):
Pr 0.0000 0.0000 0.0000
Pr 0.1496 0.6496 0.2992
Pr 0.8504 0.3504 0.7008
Zn 0.7476 0.7476 0.4953
Zn 0.2524 0.2524 0.5047
Zn 0.5491 0.5491 0.0982
Zn 0.4509 0.4509 0.9018
Zn 0.4030 0.9030 0.8061
Zn 0.5970 0.0970 0.1939
Zn 0.3069 0.8069 0.6138
Zn 0.6931 0.1931 0.3862

The value obtained for the total DFT energy (no corrections) is -2.54 eV/atom. The value obtained for the total magnetization is 0.0 μB per cell. Its space group is Immm (71).


# 11
Computed, not measured: crystalline Pr5Zn at its relaxed geometry at the PBE-GGA level of DFT.

a b c (Å): 3.7977 6.6102 8.9415
angles (deg): 67.69 77.74 73.31
Atoms (fractional coordinates):
Pr 0.6395 0.5807 0.1402
Pr 0.0000 0.5000 0.5000
Pr 0.3605 0.4193 0.8598
Pr 0.3347 0.0336 0.2970
Pr 0.6653 0.9664 0.7030
Zn 0.0000 0.0000 0.0000

For the energy above the lowest structure with this stoichiometry, the calculation gives 0 meV per atom. The value obtained for the total magnetization is 0.0 μB per cell. Its space group is C2/m (12).


# 12
Computed, not measured: crystalline Pr5Zn6 at its relaxed geometry at the PBE-GGA level of DFT.

a b c (Å): 5.1705 7.3804 8.9867
angles (deg): 114.24 106.72 90.01
Atoms (fractional coordinates):
Pr 0.0000 0.5000 0.0000
Pr 0.6713 0.6713 0.3426
Pr 0.3287 0.3287 0.6574
Pr 0.3472 0.8472 0.6944
Pr 0.6528 0.1528 0.3056
Zn 0.5002 0.7308 0.0000
Zn 0.4998 0.2692 0.0000
Zn 0.8353 0.0828 0.6705
Zn 0.8351 0.5877 0.6705
Zn 0.1647 0.9172 0.3295
Zn 0.1649 0.4123 0.3295

The value obtained for the total DFT energy (no corrections) is -3.02 eV/atom. The value obtained for the total magnetization is 0.0 μB per cell. Its space group is Immm (71).


# 13
Computed, not measured: crystalline Pr2Zn17 at its relaxed geometry at the PBE-GGA level of DFT.

a b c (Å): 6.8592 6.8592 6.8592
angles (deg): 82.78 82.78 82.78
Atoms (fractional coordinates):
Pr 0.6646 0.6646 0.6646
Pr 0.3354 0.3354 0.3354
Zn 0.3504 0.3504 0.8383
Zn 0.8383 0.3504 0.3504
Zn 0.0983 0.0983 0.0983
Zn 0.9017 0.9017 0.9017
Zn 0.0000 0.0000 0.5000
Zn 0.0000 0.5000 0.0000
Zn 0.5000 0.0000 0.0000
Zn 0.2926 0.7074 0.0000
Zn 0.7074 0.0000 0.2926
Zn 0.0000 0.2926 0.7074
Zn 0.7074 0.2926 0.0000
Zn 0.2926 0.0000 0.7074
Zn 0.0000 0.7074 0.2926
Zn 0.1617 0.6496 0.6496
Zn 0.6496 0.6496 0.1617
Zn 0.6496 0.1617 0.6496
Zn 0.3504 0.8383 0.3504

For the energy above the lowest structure with this stoichiometry, the calculation gives 0 meV per atom. The value obtained for the total magnetization is 0.0 μB per cell. Its space group is R-3m (166).


# 14
Computed, not measured: crystalline Pr2Zn17 at its relaxed geometry at the PBE-GGA level of DFT.

a b c (Å): 9.0683 9.0683 8.8668
angles (deg): 90.00 90.00 120.00
Atoms (fractional coordinates):
Pr 0.0000 0.0000 0.2500
Pr 0.0000 0.0000 0.7500
Pr 0.3333 0.6667 0.7500
Pr 0.6667 0.3333 0.2500
Zn 0.1621 0.3242 0.9803
Zn 0.8379 0.6758 0.4803
Zn 0.6758 0.8379 0.9803
Zn 0.1621 0.8379 0.9803
Zn 0.8379 0.1621 0.4803
Zn 0.3242 0.1621 0.4803
Zn 0.8379 0.6758 0.0197
Zn 0.8379 0.1621 0.0197
Zn 0.3242 0.1621 0.0197
Zn 0.6758 0.8379 0.5197
Zn 0.1621 0.8379 0.5197
Zn 0.1621 0.3242 0.5197
Zn 0.3297 0.9580 0.2500
Zn 0.6703 0.0420 0.7500
Zn 0.0420 0.3717 0.2500
Zn 0.6283 0.6703 0.2500
Zn 0.3717 0.3297 0.7500
Zn 0.9580 0.6283 0.7500
Zn 0.3717 0.0420 0.7500
Zn 0.6703 0.6283 0.7500
Zn 0.9580 0.3297 0.7500
Zn 0.0420 0.6703 0.2500
Zn 0.3297 0.3717 0.2500
Zn 0.6283 0.9580 0.2500
Zn 0.5000 0.0000 0.0000
Zn 0.5000 0.0000 0.5000
Zn 0.0000 0.5000 0.0000
Zn 0.5000 0.5000 0.0000
Zn 0.5000 0.5000 0.5000
Zn 0.0000 0.5000 0.5000
Zn 0.3333 0.6667 0.1027
Zn 0.6667 0.3333 0.6027
Zn 0.6667 0.3333 0.8973
Zn 0.3333 0.6667 0.3973

For the energy above the lowest structure with this stoichiometry, the calculation gives 4 meV per atom. The value obtained for the total magnetization is 0.0 μB per cell. Its space group is P6_3/mmc (194).


# 15
Computed, not measured: crystalline PrZrZn4 at its relaxed geometry at the PBE-GGA level of DFT.

a b c (Å): 5.4265 5.4265 5.4265
angles (deg): 60.00 60.00 60.00
Each line ends with the local moment (μB).
Atoms (fractional coordinates):
Pr 0.2500 0.2500 0.2500  0.13
Zn 0.6264 0.6264 0.1209  0.01
Zn 0.6264 0.1209 0.6264  0.01
Zn 0.6264 0.6264 0.6264  0.01
Zn 0.1209 0.6264 0.6264  0.01
Zr 0.0000 0.0000 0.0000  0.39

For the energy above the lowest structure with this stoichiometry, the calculation gives 89 meV per atom. The value obtained for the total magnetization is 0.9 μB per cell. Its space group is F-43m (216).


# 16
Computed, not measured: crystalline PrZrZn at its relaxed geometry at the PBE-GGA level of DFT.

a b c (Å): 3.4632 3.4632 6.5938
angles (deg): 105.23 105.23 90.00
Atoms (fractional coordinates):
Pr 0.0047 0.0047 0.0093
Zn 0.6850 0.6850 0.3700
Zr 0.3103 0.3103 0.6207

For the energy above the lowest structure with this stoichiometry, the calculation gives 43 meV per atom. The value obtained for the total magnetization is 0.0 μB per cell. Its space group is I4mm (107).


# 17
Computed, not measured: crystalline PrZrZn2 at its relaxed geometry at the PBE-GGA level of DFT.

a b c (Å): 4.9852 4.9852 4.9852
angles (deg): 60.00 60.00 60.00
Atoms (fractional coordinates):
Pr 0.5000 0.5000 0.5000
Zn 0.2500 0.2500 0.2500
Zn 0.7500 0.7500 0.7500
Zr 0.0000 0.0000 0.0000

For the energy above the lowest structure with this stoichiometry, the calculation gives 78 meV per atom. The value obtained for the total magnetization is 0.0 μB per cell. Its space group is Fm-3m (225).


# 18
Computed, not measured: crystalline Pr2ZrZn at its relaxed geometry at the PBE-GGA level of DFT.

a b c (Å): 3.3437 3.3437 11.7425
angles (deg): 81.81 81.81 60.00
Atoms (fractional coordinates):
Pr 0.0944 0.0944 0.7167
Pr 0.9056 0.9056 0.2833
Zn 0.5000 0.5000 0.5000
Zr 0.0000 0.0000 0.0000

For the energy above the lowest structure with this stoichiometry, the calculation gives 349 meV per atom. The value obtained for the total magnetization is 0.0 μB per cell. Its space group is R-3m (166).


# 19
Computed, not measured: crystalline PrZrZn2 at its relaxed geometry at the PBE-GGA level of DFT.

a b c (Å): 3.5003 3.5003 7.1181
angles (deg): 90.00 90.00 90.00
Atoms (fractional coordinates):
Pr 0.5000 0.5000 0.5000
Zn 0.0000 0.0000 0.7899
Zn 0.0000 0.0000 0.2101
Zr 0.5000 0.5000 0.0000

For the energy above the lowest structure with this stoichiometry, the calculation gives 0 meV per atom. The value obtained for the total magnetization is 0.0 μB per cell. Its space group is P4/mmm (123).


# 20
Computed, not measured: crystalline PrZrZn at its relaxed geometry at the PBE-GGA level of DFT.

a b c (Å): 3.9906 4.7292 4.7292
angles (deg): 120.00 90.00 90.00
Atoms (fractional coordinates):
Pr 0.6664 0.6667 0.3333
Zn 0.1674 0.3333 0.6667
Zr 0.1662 0.0000 0.0000

For the energy above the lowest structure with this stoichiometry, the calculation gives 219 meV per atom. The value obtained for the total magnetization is 0.0 μB per cell. Its space group is P-6m2 (187).